No. 1
The following is a DFT calculation (PBE) of FePt2 after structural relaxation.

- Calculated formation energy: -0.23 eV/atom
- Density of states at the Fermi level: 0.8738 states/eV/atom
- M_tot: 1.250 μB per atom
- Total energy: -0.5199 Ry per atom

```
data_FePt2
_symmetry_space_group_name_H-M 'P 1'
_symmetry_Int_Tables_number 1
_cell_length_a 11.9516
_cell_length_b 11.9516
_cell_length_c 11.9516
_cell_angle_alpha 161.27
_cell_angle_beta 161.27
_cell_angle_gamma 26.61
loop_
_symmetry_equiv_pos_as_xyz
'x,y,z'
loop_
_atom_site_label
_atom_site_type_symbol
_atom_site_fract_x
_atom_site_fract_y
_atom_site_fract_z
Fe1 Fe 0.2904 0.5404 0.7500
Fe2 Fe 0.4596 0.7096 0.7500
Fe3 Fe 0.5404 0.2904 0.2500
Fe4 Fe 0.7096 0.4596 0.2500
Pt1 Pt 0.0401 0.7901 0.2500
Pt2 Pt 0.1237 0.3737 0.7500
Pt3 Pt 0.2099 0.9599 0.2500
Pt4 Pt 0.3737 0.1237 0.2500
Pt5 Pt 0.6263 0.8763 0.7500
Pt6 Pt 0.7901 0.0401 0.7500
Pt7 Pt 0.8763 0.6263 0.2500
Pt8 Pt 0.9599 0.2099 0.7500
```

***

No. 2
The following is a DFT calculation (PBE) of AlGaBi after structural relaxation.

- Calculated formation energy: 0.16 eV/atom
- Density of states at the Fermi level: 0.7214 states/eV/atom
- M_tot: 0.000 μB per atom
- Total energy: -0.2489 Ry per atom

```
data_AlGaBi
_symmetry_space_group_name_H-M 'P 1'
_symmetry_Int_Tables_number 1
_cell_length_a 6.5010
_cell_length_b 6.5010
_cell_length_c 6.5010
_cell_angle_alpha 149.69
_cell_angle_beta 149.69
_cell_angle_gamma 43.39
loop_
_symmetry_equiv_pos_as_xyz
'x,y,z'
loop_
_atom_site_label
_atom_site_type_symbol
_atom_site_fract_x
_atom_site_fract_y
_atom_site_fract_z
Al1 Al 0.0000 0.0000 0.0000
Ga1 Ga 0.6240 0.6240 0.0000
Bi1 Bi 0.3202 0.3202 0.0000
```

***

No. 3
The following is a DFT calculation (PBE) of CePr2ErSe4 after structural relaxation.

- Formation energy (no corrections): -14.44 eV per formula unit
- Density of states at the Fermi level: 1.0668 states/eV/atom
- M_tot: 0.115 μB per atom
- Total energy: -0.4450 Ry per atom

```
data_CePr2ErSe4
_symmetry_space_group_name_H-M 'P 1'
_symmetry_Int_Tables_number 1
_cell_length_a 7.2818
_cell_length_b 4.1521
_cell_length_c 7.2945
_cell_angle_alpha 90.00
_cell_angle_beta 108.92
_cell_angle_gamma 90.00
loop_
_symmetry_equiv_pos_as_xyz
'x,y,z'
loop_
_atom_site_label
_atom_site_type_symbol
_atom_site_fract_x
_atom_site_fract_y
_atom_site_fract_z
Ce1 Ce 0.0000 0.0000 0.0000
Pr1 Pr 0.0000 0.5000 0.5000
Pr2 Pr 0.5000 0.0000 0.5000
Er1 Er 0.5000 0.5000 0.0000
Se1 Se 0.2535 0.5000 0.2392
Se2 Se 0.2623 0.0000 0.7662
Se3 Se 0.7377 0.0000 0.2338
Se4 Se 0.7465 0.5000 0.7608
```

***

No. 4
The following is a DFT calculation (PBE) of Nd2Y2Pb2C after structural relaxation.

- Calculated formation energy: -0.59 eV/atom
- Density of states at the Fermi level: 0.0856 states/eV/atom
- M_tot: 0.000 μB per atom
- Total energy: -0.4542 Ry per atom

```
data_Nd2Y2Pb2C
_symmetry_space_group_name_H-M 'P 1'
_symmetry_Int_Tables_number 1
_cell_length_a 9.0100
_cell_length_b 9.0100
_cell_length_c 9.0100
_cell_angle_alpha 148.65
_cell_angle_beta 148.65
_cell_angle_gamma 44.93
loop_
_symmetry_equiv_pos_as_xyz
'x,y,z'
loop_
_atom_site_label
_atom_site_type_symbol
_atom_site_fract_x
_atom_site_fract_y
_atom_site_fract_z
Nd1 Nd 0.1593 0.1593 0.0000
Nd2 Nd 0.8407 0.8407 0.0000
Y1 Y 0.0000 0.5000 0.5000
Y2 Y 0.5000 0.0000 0.5000
Pb1 Pb 0.3615 0.3615 0.0000
Pb2 Pb 0.6385 0.6385 0.0000
C1 C 0.0000 0.0000 0.0000
```

***

No. 5
The following is a DFT calculation (PBE) of PmTm5Tl after structural relaxation.

- Calculated formation energy: 0.72 eV/atom
- Density of states at the Fermi level: 1.0690 states/eV/atom
- M_tot: 0.000 μB per atom
- Total energy: -0.2565 Ry per atom

```
data_PmTm5Tl
_symmetry_space_group_name_H-M 'P 1'
_symmetry_Int_Tables_number 1
_cell_length_a 7.5867
_cell_length_b 7.5867
_cell_length_c 7.5867
_cell_angle_alpha 117.28
_cell_angle_beta 82.88
_cell_angle_gamma 131.74
loop_
_symmetry_equiv_pos_as_xyz
'x,y,z'
loop_
_atom_site_label
_atom_site_type_symbol
_atom_site_fract_x
_atom_site_fract_y
_atom_site_fract_z
Pm1 Pm 0.0000 0.0000 0.0000
Tm1 Tm 0.3494 0.6021 0.7473
Tm2 Tm 0.4998 0.3133 0.8135
Tm3 Tm 0.4998 0.6863 0.1865
Tm4 Tm 0.7931 0.2931 0.5000
Tm5 Tm 0.8548 0.6021 0.2527
Tl1 Tl 0.2640 0.7640 0.5000
```

***

No. 6
The following is a DFT calculation (PBE) of Pr6Sm3Y2Th after structural relaxation.

- Calculated formation energy: 0.03 eV/atom
- Density of states at the Fermi level: 1.4855 states/eV/atom
- M_tot: 0.000 μB per atom
- Total energy: -0.3847 Ry per atom

```
data_Pr6Sm3Y2Th
_symmetry_space_group_name_H-M 'P 1'
_symmetry_Int_Tables_number 1
_cell_length_a 6.3370
_cell_length_b 6.3370
_cell_length_c 12.1263
_cell_angle_alpha 95.01
_cell_angle_beta 95.01
_cell_angle_gamma 119.93
loop_
_symmetry_equiv_pos_as_xyz
'x,y,z'
loop_
_atom_site_label
_atom_site_type_symbol
_atom_site_fract_x
_atom_site_fract_y
_atom_site_fract_z
Pr1 Pr 0.0830 0.4121 0.7480
Pr2 Pr 0.2461 0.2461 0.2522
Pr3 Pr 0.4121 0.0830 0.7480
Pr4 Pr 0.5879 0.9170 0.2520
Pr5 Pr 0.7539 0.7539 0.7478
Pr6 Pr 0.9170 0.5879 0.2520
Sm1 Sm 0.1666 0.8334 0.0000
Sm2 Sm 0.5000 0.5000 0.0000
Sm3 Sm 0.8334 0.1666 0.0000
Y1 Y 0.3335 0.6665 0.5000
Y2 Y 0.6665 0.3335 0.5000
Th1 Th 0.0000 0.0000 0.5000
```

***

No. 7
The following is a DFT calculation (PBE) of TmScU2S4 after structural relaxation.

- Formation energy (no corrections): -12.78 eV per formula unit
- Density of states at the Fermi level: 1.6923 states/eV/atom
- M_tot: 0.025 μB per atom
- Total energy: -0.5758 Ry per atom

```
data_TmScU2S4
_symmetry_space_group_name_H-M 'P 1'
_symmetry_Int_Tables_number 1
_cell_length_a 6.5946
_cell_length_b 3.7532
_cell_length_c 6.7300
_cell_angle_alpha 90.00
_cell_angle_beta 108.54
_cell_angle_gamma 90.00
loop_
_symmetry_equiv_pos_as_xyz
'x,y,z'
loop_
_atom_site_label
_atom_site_type_symbol
_atom_site_fract_x
_atom_site_fract_y
_atom_site_fract_z
Tm1 Tm 0.0000 0.0000 0.0000
Sc1 Sc 0.5000 0.5000 0.0000
U1 U 0.0000 0.5000 0.5000
U2 U 0.5000 0.0000 0.5000
S1 S 0.2518 0.5000 0.2390
S2 S 0.2602 0.0000 0.7642
S3 S 0.7398 0.0000 0.2358
S4 S 0.7482 0.5000 0.7610
```

***

No. 8
The following is a DFT calculation (PBE) of ZrCrCo after structural relaxation.

- Calculated formation energy: 0.34 eV/atom
- Density of states at the Fermi level: 1.5857 states/eV/atom
- M_tot: 1.044 μB per atom
- Total energy: -0.5946 Ry per atom

```
data_ZrCrCo
_symmetry_space_group_name_H-M 'P 1'
_symmetry_Int_Tables_number 1
_cell_length_a 4.1933
_cell_length_b 4.1933
_cell_length_c 4.1933
_cell_angle_alpha 60.00
_cell_angle_beta 60.00
_cell_angle_gamma 60.00
loop_
_symmetry_equiv_pos_as_xyz
'x,y,z'
loop_
_atom_site_label
_atom_site_type_symbol
_atom_site_fract_x
_atom_site_fract_y
_atom_site_fract_z
Zr1 Zr 0.0000 0.0000 0.0000
Cr1 Cr 0.5000 0.5000 0.5000
Co1 Co 0.7500 0.7500 0.7500
```

***

- total energy of number 7 (TmScU2S4)?
  -0.5758 Ry per atom

***

- What is the formula in the third record?
  CePr2ErSe4

***

- What is the formula in the eighth record?
  ZrCrCo

***

- total energy of number 7 (TmScU2S4)?
  -0.5758 Ry per atom